[1]
A relaxed structure of Fe2CuHg, computed with PBE.

The structure belongs to space group Pmm2 (No. 25); the cell edges are 2.970, 3.109 and 6.213 Å and the angles 90.00°, 90.00° and 90.00°. Symmetry generates all atoms from Fe at (0.000, 0.000, 0.000), Fe at (0.500, 0.500, 0.188), Cu at (0.500, 0.500, 0.771) and Hg at (0.000, 0.000, 0.487).

Its volume is 14.3 Å³ per atom. Its energy above the most stable polymorph in this dataset is 0.0000 eV/atom. The density of states at the Fermi level is 3.4 states/eV/cell. The formation energy is 0.26 eV/atom.



[2]
A relaxed structure of LaHo3Cu, computed with PBE.

The structure belongs to space group Pm-3m (No. 221); the cell edges are 5.385, 5.385 and 5.385 Å and the angles 90.00°, 90.00° and 90.00°. Symmetry generates all atoms from La at (0.000, 0.000, 0.000), Ho at (0.000, 0.500, 0.500) and Cu at (0.500, 0.500, 0.500).

Its volume is 31.2 Å³ per atom. The density of states at the Fermi level is 5.7 states/eV/cell. The formation energy is 0.05 eV/atom.



[3]
A relaxed structure of SrGe2Au8, computed with PBE.

The structure belongs to space group P4/mmm (No. 123); the cell edges are 5.604, 5.604 and 8.908 Å and the angles 90.00°, 90.00° and 90.00°. Symmetry generates all atoms from Sr at (0.000, 0.000, 0.000), Ge at (0.000, 0.500, 0.500) and Au at (0.252, 0.252, 0.287).

Its volume is 25.4 Å³ per atom. The density of states at the Fermi level is 5.1 states/eV/cell. The formation energy is -0.02 eV/atom.



[4]
A relaxed structure of Cu2NiRu, computed with PBE.

The structure belongs to space group R-3m (No. 166, hexagonal axes); the cell edges are 2.6045, 2.6045 and 25.2558 Å and the angles 90.00°, 90.00° and 120.00°. Symmetry generates all atoms from Cu at (0.0000, 0.0000, 0.2465), Ni at (0.0000, 0.0000, 0.5000) and Ru at (0.0000, 0.0000, 0.0000).

Its volume is 12.4 Å³ per atom. Its energy above the most stable polymorph in this dataset is 0.0495 eV/atom. The density of states at the Fermi level is 11.1 states/eV/cell. The formation energy is 0.17 eV/atom.



[5]
A relaxed structure of SmSc2In3Se6, computed with PBE.

The structure belongs to space group C2/m (No. 12); the cell edges are 7.006, 12.101 and 8.025 Å and the angles 90.00°, 106.85° and 90.00°. Symmetry generates all atoms from Sm at (0.000, 0.000, 0.000), Sc at (0.000, 0.333, 0.000), In at (0.000, 0.161, 0.500), In at (0.000, 0.500, 0.500), Se at (0.215, 0.500, 0.200) and Se at (0.244, 0.176, 0.206).

Its volume is 27.1 Å³ per atom. The formation energy (no corrections) comes out at -1.213 eV/atom.



[6]
A relaxed structure of CaLa2Cr, computed with PBE.

The structure belongs to space group I-42d (No. 122); the cell edges are 7.662, 7.662 and 10.046 Å and the angles 90.00°, 90.00° and 90.00°. Symmetry generates all atoms from Ca at (0.000, 0.000, 0.000), La at (0.086, 0.750, 0.625) and Cr at (0.000, 0.000, 0.500).

Its volume is 36.9 Å³ per atom. Its energy above the most stable polymorph in this dataset is 0.4051 eV/atom. The density of states at the Fermi level is 8.0 states/eV/cell. The formation energy is 0.67 eV/atom.



The following spin magnetization values (in μB per cell) correspond, in order, to the records above: 5.12, 0.00, 0.00, 0.07, 0.00, 0.00.